[1]
A relaxed structure of AsSe2Cl, computed with PBE.

The structure in POSCAR format:
```
AsSe2Cl
1.0
3.8541 0.0024 -0.0683
1.9145 3.3450 -0.0683
-0.4922 -0.2856 7.8802
As Se Cl
1 2 1
Direct
0.7500 0.7500 0.7500
0.1009 0.1009 0.9479
0.3991 0.3991 0.5521
0.2500 0.2500 0.2500
```

Output
energy relative to the elements, uncorrected	-0.02	eV/atom
DOS at the Fermi energy	1.75	states/eV/cell
SG	C2/m, No. 12

[2]
A relaxed structure of HgPbSCl2, computed with PBE.

The structure in POSCAR format:
```
HgPbSCl2
1.0
-4.3711 -1.0414 3.0094
-1.4636 -3.8820 -3.4692
2.7892 -3.5686 2.8165
Pb S Hg Cl
1 1 1 2
Direct
0.0000 0.0000 0.0000
0.0000 0.0000 0.5000
0.5000 0.5000 0.5000
0.0000 0.5000 0.0000
0.5000 0.0000 0.0000
```

Output
energy relative to the elements, uncorrected	-0.18	eV/atom
DOS at the Fermi energy	3.67	states/eV/cell
SG	P4/mmm, No. 123

[3]
A relaxed structure of Pm6CoSn2, computed with PBE.

The structure in POSCAR format:
```
Pm6CoSn2
1.0
3.9695 0.0000 0.0000
0.0000 8.6896 0.0000
0.0000 -4.3448 7.5251
Pm Co Sn
6 1 2
Direct
0.5000 0.5938 0.0000
0.5000 0.4061 0.4060
0.5000 0.0001 0.5940
0.0000 0.2352 0.0000
0.0000 0.7647 0.7647
0.0000 0.0000 0.2353
0.5000 0.0000 0.0000
0.0000 0.3334 0.6666
0.0000 0.6668 0.3334
```

Output
formation energy from the elements	-406	meV/atom
DOS at the Fermi energy	10.39	states/eV/cell
SG	P-62m, No. 189

[4]
A relaxed structure of Ac6TeRh3Se2, computed with PBE.

The structure in POSCAR format:
```
Ac6TeRh3Se2
1.0
-3.1857 -2.8918 0.7171
-0.2946 -1.9203 -9.0524
8.1790 -4.7578 3.8833
Ac Te Rh Se
6 1 3 2
Direct
0.3231 0.9284 0.6463
0.6624 0.5966 0.3248
0.6769 0.0716 0.3537
0.9941 0.2749 0.9882
0.0059 0.7251 0.0118
0.3376 0.4034 0.6752
0.5000 0.0000 0.0000
0.5000 0.5000 0.0000
0.8333 0.1696 0.6667
0.1667 0.8304 0.3333
0.8329 0.6663 0.6659
0.1671 0.3337 0.3342
```

Output
energy relative to the elements, uncorrected	-1.20	eV/atom
DOS at the Fermi energy	7.41	states/eV/cell
SG	C2/m, No. 12

[5]
A relaxed structure of Li3Bi2Pd6, computed with PBE.

The structure in POSCAR format:
```
Li3Bi2Pd6
1.0
-0.1644 -2.6561 -3.0644
4.0545 -0.1696 -0.0706
-2.1809 -7.4152 9.2321
Li Bi Pd
3 2 6
Direct
0.0000 0.0000 0.0000
0.8701 0.8701 0.7402
0.1299 0.1299 0.2598
0.3516 0.3516 0.7032
0.6484 0.6484 0.2968
0.0621 0.5621 0.1241
0.5621 0.0621 0.1241
0.9379 0.4379 0.8759
0.4379 0.9379 0.8759
0.7637 0.7637 0.5275
0.2363 0.2363 0.4725
```

Output
formation energy from the elements	-164	meV/atom
DOS at the Fermi energy	4.99	states/eV/cell
SG	I4/mmm, No. 139

[6]
A relaxed structure of Pt2SeCl, computed with PBE.

The structure in POSCAR format:
```
Pt2SeCl
1.0
3.2085 0.0059 0.0000
-1.7685 2.6771 0.0000
0.0000 0.0000 8.3906
Cl Pt Se
1 2 1
Direct
0.5000 0.5000 0.7500
0.0000 0.0000 0.0049
0.0000 0.0000 0.4951
0.5000 0.5000 0.2500
```

Output
energy relative to the elements, uncorrected	0.38	eV/atom
DOS at the Fermi energy	2.96	states/eV/cell
SG	Cmmm, No. 65

[7]
A relaxed structure of TbTh5Sb4, computed with PBE.

The structure in POSCAR format:
```
TbTh5Sb4
1.0
4.2440 0.0000 0.0000
0.0000 8.7347 -0.3424
-2.1220 -1.6099 9.1863
Tb Th Sb
1 5 4
Direct
0.5000 0.0000 0.0000
0.8156 0.6467 0.6313
0.8356 0.2029 0.6713
0.1644 0.7971 0.3287
0.5000 0.5000 0.0000
0.1844 0.3533 0.3687
0.3340 0.9300 0.6679
0.9902 0.7528 0.9805
0.6660 0.0700 0.3321
0.0098 0.2472 0.0195
```

Output
energy relative to the elements, uncorrected	-0.49	eV/atom
DOS at the Fermi energy	10.10	states/eV/cell
SG	C2/m, No. 12

[8]
A relaxed structure of Pm5Ir, computed with PBE.

The structure in POSCAR format:
```
Pm5Ir
1.0
5.6412 0.0000 0.0000
0.0000 3.8296 0.0000
0.0000 -1.9148 8.4855
Ir Pm
1 5
Direct
0.0000 0.0000 0.0000
0.5000 0.8321 0.6642
0.0000 0.6273 0.2545
0.5000 0.5000 0.0000
0.0000 0.3727 0.7455
0.5000 0.1679 0.3358
```

Output
formation energy from the elements	-95	meV/atom
DOS at the Fermi energy	8.17	states/eV/cell
SG	Cmmm, No. 65

Question: What is the DOS at the Fermi energy in the second record?
Answer: 3.67 states/eV/cell

Question: Among the records above, which one has the highest DOS at the Fermi energy?
Answer: Pm6CoSn2

Question: Which of these has the lowest DOS at the Fermi energy?
Answer: AsSe2Cl

Please write out number 5 again, unchanged.
A relaxed structure of Li3Bi2Pd6, computed with PBE.

The structure in POSCAR format:
```
Li3Bi2Pd6
1.0
-0.1644 -2.6561 -3.0644
4.0545 -0.1696 -0.0706
-2.1809 -7.4152 9.2321
Li Bi Pd
3 2 6
Direct
0.0000 0.0000 0.0000
0.8701 0.8701 0.7402
0.1299 0.1299 0.2598
0.3516 0.3516 0.7032
0.6484 0.6484 0.2968
0.0621 0.5621 0.1241
0.5621 0.0621 0.1241
0.9379 0.4379 0.8759
0.4379 0.9379 0.8759
0.7637 0.7637 0.5275
0.2363 0.2363 0.4725
```

Output
formation energy from the elements	-164	meV/atom
DOS at the Fermi energy	4.99	states/eV/cell
SG	I4/mmm, No. 139